(1)
A plane-wave DFT calculation with GGA-PBE was carried out for an optimized crystal structure of Tb2Sm3Tm6Sc.

Structure (POSCAR):
```
Tb2Sm3Tm6Sc
1.0
-3.1520 1.0607 5.1061
4.9272 -3.5822 0.1529
5.9750 9.9613 0.4086
Sm Tm Tb Sc
3 6 2 1
direct
0.5000 0.5000 0.5000
0.1665 0.8335 0.5000
0.8335 0.1665 0.5000
0.7504 0.7504 0.2460
0.4123 0.0814 0.2458
0.5877 0.9186 0.7542
0.2496 0.2496 0.7540
0.9186 0.5877 0.7542
0.0814 0.4123 0.2458
0.3336 0.6664 0.0000
0.6664 0.3336 0.0000
0.0000 0.0000 0.0000
```

total magnetic moment	0.00	μB/cell
ΔH_f (0 K)	0.03	eV per atom
DFT total energy	-56.22	eV per cell

=====

(2)
A plane-wave DFT calculation with GGA-PBE was carried out for an optimized crystal structure of AcLa3Ho6.

Structure (POSCAR):
```
AcLa3Ho6
1.0
8.8269 0.0000 4.6842
3.1706 8.2378 4.6842
2.2173 1.5225 6.4805
Ho La Ac
6 3 1
direct
0.3979 0.7286 0.8016
0.0719 0.3979 0.8016
0.5671 0.2384 0.2933
0.9011 0.5671 0.2933
0.2384 0.9011 0.2933
0.7286 0.0719 0.8016
0.1670 0.1670 0.4989
0.6322 0.6322 0.1034
0.3990 0.3990 0.8031
0.8968 0.8968 0.3097
```

total magnetic moment	0.00	μB/cell
ΔH_f (0 K)	0.34	eV per atom
DFT total energy	-42.98	eV per cell

=====

(3)
A plane-wave DFT calculation with GGA-PBE was carried out for an optimized crystal structure of Sc2CrCdC.

Structure (POSCAR):
```
Sc2CrCdC
1.0
4.6247 0.0000 0.0000
0.0000 4.6247 0.0000
0.0000 0.0000 3.9227
Cr Sc Cd C
1 2 1 1
direct
0.0000 0.0000 0.5000
0.5000 0.0000 0.0000
0.0000 0.5000 0.0000
0.5000 0.5000 0.5000
0.0000 0.0000 0.0000
```

total magnetic moment	1.88	μB/cell
ΔH_f (0 K)	-0.31	eV per atom
DFT total energy	-33.98	eV per cell

=====

(4)
A plane-wave DFT calculation with GGA-PBE was carried out for an optimized crystal structure of SbCl.

Structure (POSCAR):
```
SbCl
1.0
7.4017 0.0759 0.0018
4.9103 5.5389 -0.0018
-5.7632 -3.6688 2.8490
Cl Sb
2 2
direct
0.7524 0.2524 0.5000
0.9976 0.9976 0.0000
0.2864 0.7864 0.5000
0.4636 0.4636 0.0000
```

total magnetic moment	0.00	μB/cell
DFT total energy	-12.76	eV per cell

=====

(5)
A plane-wave DFT calculation with GGA-PBE was carried out for an optimized crystal structure of LiHf2Ag.

Structure (POSCAR):
```
LiHf2Ag
1.0
7.6523 0.0000 0.0000
0.0000 7.6523 0.0000
3.8262 3.8262 2.7538
Ag Hf Li
2 4 2
direct
0.7500 0.2500 0.5000
0.0000 0.0000 0.0000
0.6272 0.1250 0.2500
0.1228 0.6250 0.2500
0.8750 0.8772 0.7500
0.3750 0.3728 0.7500
0.5000 0.5000 0.0000
0.2500 0.7500 0.5000
```

total magnetic moment	0.00	μB/cell
ΔH_f (0 K)	0.52	eV per atom
DFT total energy	-45.22	eV per cell

=====

(6)
A plane-wave DFT calculation with GGA-PBE was carried out for an optimized crystal structure of Zn3GeW.

Structure (POSCAR):
```
Zn3GeW
1.0
-0.1127 -4.1455 2.1750
2.1816 -1.9714 -3.6445
4.1420 0.9256 1.9788
Zn W Ge
3 1 1
direct
0.5000 0.0000 0.0000
0.0000 0.5000 0.0000
0.0000 0.0000 0.5000
0.5000 0.5000 0.5000
0.0000 0.0000 0.0000
```

total magnetic moment	3.63	μB/cell
ΔH_f (0 K)	1.40	eV per atom
DFT total energy	-14.37	eV per cell

=====

Question: What is the DFT total energy in the sixth record?
Answer: -14.37 eV per cell

=====

Question: Which formula does entry 6 have?
Answer: Zn3GeW